*one*
ZnP2RhCl | PBE | optimized geometry

Cell: 4.5403 4.5403 4.7690 Å, 90.00 90.00 90.00°
Fractional coordinates of all 5 atoms:
Zn (0.0000, 0.0000, 0.0000)
P (0.0000, 0.5000, 0.0000)
P (0.5000, 0.0000, 0.0000)
Rh (0.5000, 0.5000, 0.5000)
Cl (0.0000, 0.0000, 0.5000)

## Properties
**Spin magnetization**: 0.51 μB/f.u.
**DOS at the Fermi energy**: 3.3 states/eV per cell
**Space group**: P4/mmm (123)
**Crystal system**: tetragonal

=====

*two*
ZnP2RhCl | PBE | optimized geometry

Cell: 4.5539 4.5539 5.1019 Å, 90.00 90.00 90.00°
Fractional coordinates of all 5 atoms:
Zn (0.0000, 0.0000, 0.0000)
P (0.0000, 0.5000, 0.5000)
P (0.5000, 0.0000, 0.5000)
Rh (0.5000, 0.5000, 0.5000)
Cl (0.5000, 0.5000, 0.0000)

## Properties
**Spin magnetization**: 0.00 μB/f.u.
**DOS at the Fermi energy**: 3.9 states/eV per cell
**Space group**: P4/mmm (123)
**Crystal system**: tetragonal

=====

It is *one* that is the least stable of them.

=====

*one*
PRuCl2 | PBE | optimized geometry

Cell: 3.0840 3.0840 8.5390 Å, 90.00 90.00 90.00°
Fractional coordinates of all 4 atoms:
P (0.0000, 0.0000, 0.0000)
Ru (0.5000, 0.5000, 0.8859)
Cl (0.0000, 0.0000, 0.2372)
Cl (0.5000, 0.5000, 0.6155)

## Properties
**Spin magnetization**: 0.00 μB/f.u.
**DOS at the Fermi energy**: 3.9 states/eV per cell
**Space group**: P4mm (99)
**Crystal system**: tetragonal

=====

*two*
PRuCl2 | PBE | optimized geometry

Cell: 4.4883 3.5423 7.0199 Å, 90.00 108.53 90.00°
Fractional coordinates of all 4 atoms:
P (0.0000, 0.0000, 0.0000)
Ru (0.5000, 0.0000, 0.0000)
Cl (0.3759, 0.5000, 0.7503)
Cl (0.6241, 0.5000, 0.2497)

## Properties
**Spin magnetization**: 0.00 μB/f.u.
**DOS at the Fermi energy**: 2.4 states/eV per cell
**Space group**: P2/m (10)
**Crystal system**: monoclinic

=====

It is *two* that is the least stable of them.